# 1
Material: YIr2Rh
Method: DFT, SCAN
State: PBEsol geometry

```
data_YIr2Rh
_chemical_formula_sum 'Y2 Ir4 Rh2'
_symmetry_space_group_name_H-M 'I 4/m m m'
_symmetry_Int_Tables_number 139
_symmetry_space_group_name_Hall '-I 4 2'
_cell_length_a 3.9808
_cell_length_b 3.9808
_cell_length_c 8.1117
_cell_angle_alpha 90.00
_cell_angle_beta 90.00
_cell_angle_gamma 90.00
loop_
_atom_site_label
_atom_site_fract_x
_atom_site_fract_y
_atom_site_fract_z
_atom_site_occupancy
Y1 0.0000 0.0000 0.0000 1
Ir1 0.0000 0.5000 0.2500 1
Rh1 0.0000 0.0000 0.5000 1
```

As for the formation enthalpy at 0 K: -0.33 eV per atom. Its total energy is -410.29 eV/cell. The calculation puts the offset from the most stable computed form at 0.0 meV per atom.

# 2
Material: Sr2BiPd2
Method: DFT, SCAN
State: PBEsol geometry

```
data_Sr2BiPd2
_chemical_formula_sum 'Sr4 Bi2 Pd4'
_symmetry_space_group_name_H-M 'P 4/m b m'
_symmetry_Int_Tables_number 127
_symmetry_space_group_name_Hall '-P 4 2ab'
_cell_length_a 7.6789
_cell_length_b 7.6789
_cell_length_c 4.2857
_cell_angle_alpha 90.00
_cell_angle_beta 90.00
_cell_angle_gamma 90.00
loop_
_atom_site_label
_atom_site_fract_x
_atom_site_fract_y
_atom_site_fract_z
_atom_site_occupancy
Sr1 0.1759 0.3241 0.0000 1
Bi1 0.0000 0.0000 0.5000 1
Pd1 0.1263 0.6263 0.5000 1
```

As for the formation enthalpy at 0 K: -0.70 eV per atom. Its total energy is -384.40 eV/cell.

# 3
Material: MgMnAg2
Method: DFT, SCAN
State: PBEsol geometry

```
data_MgMnAg2
_chemical_formula_sum 'Mg2 Mn2 Ag4'
_symmetry_space_group_name_H-M 'C 1 m 1'
_symmetry_Int_Tables_number 8
_symmetry_space_group_name_Hall 'C -2y'
_cell_length_a 9.5367
_cell_length_b 3.0103
_cell_length_c 4.7482
_cell_angle_alpha 90.00
_cell_angle_beta 102.88
_cell_angle_gamma 90.00
loop_
_atom_site_label
_atom_site_fract_x
_atom_site_fract_y
_atom_site_fract_z
_atom_site_occupancy
Mg1 0.0000 0.0000 0.0000 1
Mn1 0.2423 0.0000 0.6998 1
Ag1 0.2498 0.5000 0.2097 1
Ag2 0.4987 0.0000 0.5020 1
```

As for the formation enthalpy at 0 K: -0.11 eV per atom. Its total energy is -172.77 eV/cell.

# 4
Material: Mn2IrPt
Method: DFT, SCAN
State: PBEsol geometry

```
data_Mn2IrPt
_chemical_formula_sum 'Mn8 Ir4 Pt4'
_symmetry_space_group_name_H-M 'F -4 3 m'
_symmetry_Int_Tables_number 216
_symmetry_space_group_name_Hall 'F -4 2 3'
_cell_length_a 6.0290
_cell_length_b 6.0290
_cell_length_c 6.0290
_cell_angle_alpha 90.00
_cell_angle_beta 90.00
_cell_angle_gamma 90.00
loop_
_atom_site_label
_atom_site_fract_x
_atom_site_fract_y
_atom_site_fract_z
_atom_site_occupancy
Mn1 0.0000 0.0000 0.0000 1
Mn2 0.2500 0.2500 0.2500 1
Ir1 0.0000 0.0000 0.5000 1
Pt1 0.2500 0.2500 0.7500 1
```

As for the formation enthalpy at 0 K: -0.21 eV per atom. Its total energy is -714.59 eV/cell. The calculation puts the offset from the most stable computed form at 397.0 meV per atom.

# 5
Material: MgFe2As
Method: DFT, SCAN
State: PBEsol geometry

```
data_MgFe2As
_chemical_formula_sum 'Mg3 Fe6 As3'
_symmetry_space_group_name_H-M 'R 3 m'
_symmetry_Int_Tables_number 160
_symmetry_space_group_name_Hall 'R 3 -2"'
_cell_length_a 2.9146
_cell_length_b 2.9146
_cell_length_c 24.0765
_cell_angle_alpha 90.00
_cell_angle_beta 90.00
_cell_angle_gamma 120.00
loop_
_atom_site_label
_atom_site_fract_x
_atom_site_fract_y
_atom_site_fract_z
_atom_site_occupancy
Mg1 0.0000 0.0000 0.0000 1
Fe1 0.0000 0.0000 0.4932 1
Fe2 0.0000 0.0000 0.7559 1
As1 0.0000 0.0000 0.2318 1
```

As for the formation enthalpy at 0 K: 0.12 eV per atom. Its total energy is -182.82 eV/cell.

# 6
Material: VW2C3
Method: DFT, SCAN
State: PBEsol geometry

```
data_VW2C3
_chemical_formula_sum 'V2 W4 C6'
_symmetry_space_group_name_H-M 'I m m m'
_symmetry_Int_Tables_number 71
_symmetry_space_group_name_Hall '-I 2 2'
_cell_length_a 3.0271
_cell_length_b 4.2793
_cell_length_c 9.0879
_cell_angle_alpha 90.00
_cell_angle_beta 90.00
_cell_angle_gamma 90.00
loop_
_atom_site_label
_atom_site_fract_x
_atom_site_fract_y
_atom_site_fract_z
_atom_site_occupancy
V1 0.0000 0.0000 0.0000 1
W1 0.0000 0.0000 0.3329 1
C1 0.0000 0.5000 0.0000 1
C2 0.0000 0.5000 0.3397 1
```

As for the formation enthalpy at 0 K: 0.07 eV per atom. Its total energy is -373.44 eV/cell.

Look up the formation enthalpy at 0 K of the third one.
-0.11 eV per atom